(1)
DFT (PBE) results for a relaxed structure of Y4Sn2Pb.

The formation energy is -0.115 eV per atom. Its space group is I4/mmm, No. 139.

Unit cell a=9.0084 b=9.0084 c=9.0084 alpha=144.28 beta=144.28 gamma=51.40
Element x y z (fractional)
Y1 0.0000 0.5000 0.5000
Y2 0.1851 0.1851 0.0000
Y3 0.5000 0.0000 0.5000
Y4 0.8149 0.8149 0.0000
Sn1 0.3726 0.3726 0.0000
Sn2 0.6274 0.6274 0.0000
Pb1 0.0000 0.0000 0.0000



(2)
DFT (PBE) results for a relaxed structure of PaHgBr2.

The value obtained for the uncorrected formation energy is -0.883 eV/atom. Its space group is R-3m, No. 166.

Unit cell a=12.2948 b=12.2948 c=12.2948 alpha=16.59 beta=16.59 gamma=16.59
Element x y z (fractional)
Pa1 0.0000 0.0000 0.0000
Hg1 0.5000 0.5000 0.5000
Br1 0.3916 0.3916 0.3916
Br2 0.6084 0.6084 0.6084



(3)
DFT (PBE) results for a relaxed structure of Sr2CaBiP.

The formation energy is -0.935 eV per atom. Its space group is P4/mmm, No. 123.

Unit cell a=5.7757 b=5.7757 c=5.4397 alpha=90.00 beta=90.00 gamma=90.00
Element x y z (fractional)
Sr1 0.0000 0.5000 0.0000
Sr2 0.5000 0.0000 0.0000
Ca1 0.0000 0.0000 0.5000
Bi1 0.5000 0.5000 0.5000
P1 0.0000 0.0000 0.0000



(4)
DFT (PBE) results for a relaxed structure of SrTl2Tc.

The formation energy is 0.625 eV per atom. Its space group is I-42d, No. 122. As for the excess energy over the best structure of this formula in the dataset: 1.22 eV per formula unit.

Unit cell a=10.0679 b=10.0679 c=10.0679 alpha=149.43 beta=149.43 gamma=43.77
Element x y z (fractional)
Sr1 0.0000 0.0000 0.0000
Sr2 0.7500 0.2500 0.5000
Tl1 0.2469 0.6250 0.1219
Tl2 0.3750 0.4969 0.6219
Tl3 0.5031 0.1250 0.8781
Tl4 0.8750 0.7531 0.3781
Tc1 0.2500 0.7500 0.5000
Tc2 0.5000 0.5000 0.0000



(5)
DFT (PBE) results for a relaxed structure of SrIn6Hg4.

The formation energy is -0.053 eV per atom. Its space group is I-42m, No. 121. As for the excess energy over the best structure of this formula in the dataset: 0.62 eV per formula unit.

Unit cell a=7.6719 b=7.6719 c=7.6719 alpha=115.91 beta=115.91 gamma=97.25
Element x y z (fractional)
Sr1 0.0000 0.0000 0.0000
In1 0.0000 0.5000 0.5000
In2 0.2123 0.4800 0.0000
In3 0.4800 0.2123 0.0000
In4 0.5000 0.0000 0.5000
In5 0.5200 0.5200 0.7323
In6 0.7877 0.7877 0.2677
Hg1 0.1550 0.1550 0.5431
Hg2 0.3881 0.8450 0.0000
Hg3 0.6119 0.6119 0.4569
Hg4 0.8450 0.3881 0.0000



(6)
DFT (PBE) results for a relaxed structure of K3Th3ZnS8.

The value obtained for the uncorrected formation energy is -1.551 eV/atom. Its space group is C2/m, No. 12.

Unit cell a=8.2089 b=8.2089 c=8.8437 alpha=117.63 beta=117.63 gamma=60.05
Element x y z (fractional)
K1 0.0000 0.0000 0.0000
K2 0.0000 0.5000 0.0000
K3 0.5000 0.0000 0.0000
Th1 0.0000 0.5000 0.5000
Th2 0.5000 0.0000 0.5000
Th3 0.5000 0.5000 0.5000
Zn1 0.0000 0.0000 0.5000
S1 0.2249 0.2249 0.6891
S2 0.2259 0.7383 0.6899
S3 0.2616 0.2616 0.2849
S4 0.2617 0.7741 0.3101
S5 0.7383 0.2259 0.6899
S6 0.7384 0.7384 0.7151
S7 0.7741 0.2617 0.3101
S8 0.7751 0.7751 0.3109



(7)
DFT (PBE) results for a relaxed structure of KCd2Si.

The value obtained for the uncorrected formation energy is 0.191 eV/atom. Its space group is I-42d, No. 122.

Unit cell a=9.5544 b=9.5544 c=9.5544 alpha=144.81 beta=144.81 gamma=50.62
Element x y z (fractional)
K1 0.0000 0.0000 0.0000
K2 0.7500 0.2500 0.5000
Cd1 0.3737 0.6250 0.2487
Cd2 0.3750 0.6237 0.7487
Cd3 0.3763 0.1250 0.7513
Cd4 0.8750 0.6263 0.2513
Si1 0.2500 0.7500 0.5000
Si2 0.5000 0.5000 0.0000



(8)
DFT (PBE) results for a relaxed structure of ZrZn2Au2.

The formation energy is -0.354 eV per atom. Its space group is P2_1/m, No. 11. As for the excess energy over the best structure of this formula in the dataset: 0.00 eV per formula unit.

Unit cell a=4.4193 b=4.6109 c=8.9354 alpha=90.00 beta=104.20 gamma=90.00
Element x y z (fractional)
Zr1 0.1449 0.2500 0.2926
Zr2 0.8551 0.7500 0.7074
Zn1 0.3509 0.2500 0.7037
Zn2 0.4591 0.7500 0.9163
Zn3 0.5409 0.2500 0.0837
Zn4 0.6491 0.7500 0.2963
Au1 0.0504 0.7500 0.0991
Au2 0.2528 0.7500 0.5016
Au3 0.7472 0.2500 0.4984
Au4 0.9496 0.2500 0.9009



(9)
DFT (PBE) results for a relaxed structure of LaAlMo2.

The formation energy is 0.511 eV per atom. Its space group is Immm, No. 71.

Unit cell a=5.3885 b=5.3885 c=5.3885 alpha=144.36 beta=121.92 gamma=70.03
Element x y z (fractional)
La1 0.0000 0.0000 0.0000
Al1 0.5000 0.5000 0.0000
Mo1 0.2543 0.7543 0.5000
Mo2 0.7457 0.2457 0.5000



(10)
DFT (PBE) results for a relaxed structure of AlCu2Re.

The formation energy is 0.031 eV per atom. Its space group is Pmmm, No. 47.

Unit cell a=3.5832 b=3.8385 c=3.8458 alpha=90.00 beta=90.00 gamma=90.00
Element x y z (fractional)
Al1 0.0000 0.0000 0.0000
Cu1 0.0000 0.5000 0.5000
Cu2 0.5000 0.5000 0.0000
Re1 0.5000 0.0000 0.5000



(11)
DFT (PBE) results for a relaxed structure of Mg2TaVTe.

The value obtained for the uncorrected formation energy is 1.123 eV/atom. Its space group is P4/mmm, No. 123.

Unit cell a=5.4573 b=5.4573 c=4.4882 alpha=90.00 beta=90.00 gamma=90.00
Element x y z (fractional)
Mg1 0.0000 0.5000 0.0000
Mg2 0.5000 0.0000 0.0000
Ta1 0.0000 0.0000 0.0000
V1 0.0000 0.0000 0.5000
Te1 0.5000 0.5000 0.5000



(12)
DFT (PBE) results for a relaxed structure of Tb6Sm12Tm.

The formation energy is 0.141 eV per atom. Its space group is R-3, No. 148. As for the excess energy over the best structure of this formula in the dataset: 0.26 eV per formula unit.

Unit cell a=8.6196 b=8.6196 c=8.6196 alpha=88.95 beta=88.95 gamma=88.95
Element x y z (fractional)
Tb1 0.1999 0.7603 0.5965
Tb2 0.2397 0.4035 0.8001
Tb3 0.4035 0.8001 0.2397
Tb4 0.5965 0.1999 0.7603
Tb5 0.7603 0.5965 0.1999
Tb6 0.8001 0.2397 0.4035
Sm1 0.0380 0.9342 0.2789
Sm2 0.0658 0.7211 0.9620
Sm3 0.1399 0.4837 0.3045
Sm4 0.2789 0.0380 0.9342
Sm5 0.3045 0.1399 0.4837
Sm6 0.4837 0.3045 0.1399
Sm7 0.5163 0.6955 0.8601
Sm8 0.6955 0.8601 0.5163
Sm9 0.7211 0.9620 0.0658
Sm10 0.8601 0.5163 0.6955
Sm11 0.9342 0.2789 0.0380
Sm12 0.9620 0.0658 0.7211
Tm1 0.5000 0.5000 0.5000



no.,density (g/cm3)
1,5.36
2,7.43
3,4.17
4,7.50
5,7.80
6,4.32
7,3.37
8,11.59
9,7.80
10,10.68
11,5.07
12,7.59